Model i:
First-principles (PBE) data for a relaxed structure of NaLa2SbH, as listed in Alexandria.

## Properties
density	5.81	g/cm³
volume	24.211	A^3/atom
space-group type	P4/mmm

Unit cell a=5.0471 b=5.0471 c=4.7523 alpha=90.00 beta=90.00 gamma=90.00
Atoms (fractional coordinates):
Na1 0.0000 0.0000 0.0000
La1 0.0000 0.5000 0.5000
La2 0.5000 0.0000 0.5000
Sb1 0.5000 0.5000 0.0000
H1 0.0000 0.0000 0.5000


Model ii:
First-principles (PBE) data for a relaxed structure of NaLa2SbH, as listed in Alexandria.

## Properties
density	5.30	g/cm³
volume	26.558	A^3/atom
space-group type	P4/mmm

Unit cell a=5.8471 b=5.8471 c=3.8841 alpha=90.00 beta=90.00 gamma=90.00
Atoms (fractional coordinates):
Na1 0.0000 0.0000 0.0000
La1 0.0000 0.5000 0.0000
La2 0.5000 0.0000 0.0000
Sb1 0.5000 0.5000 0.5000
H1 0.0000 0.0000 0.5000


model i ends up most stable, edging out the next structure by 68.8 kJ/mol of atoms.


Model i:
First-principles (PBE) data for a relaxed structure of LaNb2H, as listed in Alexandria.

## Properties
density	6.99	g/cm³
volume	19.358	A^3/atom
space-group type	I4_1/amd

Unit cell a=6.0306 b=6.0306 c=6.0306 alpha=120.09 beta=120.09 gamma=89.84
Atoms (fractional coordinates):
La1 0.3750 0.6250 0.7500
La2 0.6250 0.3750 0.2500
Nb1 0.0000 0.0000 0.0000
Nb2 0.0000 0.0000 0.5000
Nb3 0.0000 0.5000 0.0000
Nb4 0.5000 0.0000 0.5000
H1 0.1250 0.8750 0.2500
H2 0.8750 0.1250 0.7500


Model ii:
First-principles (PBE) data for a relaxed structure of LaNb2H, as listed in Alexandria.

## Properties
density	7.65	g/cm³
volume	17.671	A^3/atom
space-group type	Fm-3m

Unit cell a=4.6410 b=4.6410 c=4.6410 alpha=60.00 beta=60.00 gamma=60.00
Atoms (fractional coordinates):
La1 0.0000 0.0000 0.0000
Nb1 0.2500 0.2500 0.2500
Nb2 0.7500 0.7500 0.7500
H1 0.5000 0.5000 0.5000


model i ends up most stable, edging out the next structure by 115.6 kJ/mol of atoms.


Model i:
First-principles (PBE) data for a relaxed structure of LaNbH2, as listed in Alexandria.

## Properties
density	6.99	g/cm³
volume	13.888	A^3/atom
space-group type	Fm-3m

Unit cell a=4.2829 b=4.2829 c=4.2829 alpha=60.00 beta=60.00 gamma=60.00
Atoms (fractional coordinates):
La1 0.0000 0.0000 0.0000
Nb1 0.5000 0.5000 0.5000
H1 0.2500 0.2500 0.2500
H2 0.7500 0.7500 0.7500


Model ii:
First-principles (PBE) data for a relaxed structure of LaNbH2, as listed in Alexandria.

## Properties
density	6.84	g/cm³
volume	14.194	A^3/atom
space-group type	I-42d

Unit cell a=5.4022 b=5.4022 c=5.4022 alpha=118.72 beta=118.72 gamma=92.24
Atoms (fractional coordinates):
La1 0.0000 0.0000 0.0000
La2 0.7500 0.2500 0.5000
Nb1 0.2500 0.7500 0.5000
Nb2 0.5000 0.5000 0.0000
H1 0.1943 0.6250 0.0693
H2 0.3750 0.4443 0.5693
H3 0.5557 0.1250 0.9307
H4 0.8750 0.8057 0.4307


model ii ends up most stable, edging out the next structure by 57.5 kJ/mol of atoms.


Model i:
First-principles (PBE) data for a relaxed structure of LaNb3H, as listed in Alexandria.

## Properties
density	5.91	g/cm³
volume	23.540	A^3/atom
space-group type	Pm-3m

Unit cell a=4.9007 b=4.9007 c=4.9007 alpha=90.00 beta=90.00 gamma=90.00
Atoms (fractional coordinates):
La1 0.0000 0.0000 0.0000
Nb1 0.0000 0.0000 0.5000
Nb2 0.0000 0.5000 0.0000
Nb3 0.5000 0.0000 0.0000
H1 0.5000 0.5000 0.5000


Model ii:
First-principles (PBE) data for a relaxed structure of LaNb3H, as listed in Alexandria.

## Properties
density	7.83	g/cm³
volume	17.747	A^3/atom
space-group type	Pm-3m

Unit cell a=4.4603 b=4.4603 c=4.4603 alpha=90.00 beta=90.00 gamma=90.00
Atoms (fractional coordinates):
La1 0.0000 0.0000 0.0000
Nb1 0.0000 0.5000 0.5000
Nb2 0.5000 0.0000 0.5000
Nb3 0.5000 0.5000 0.0000
H1 0.5000 0.5000 0.5000


model ii ends up most stable, edging out the next structure by 194.6 kJ/mol of atoms.


Model i:
First-principles (PBE) data for a relaxed structure of LaNb2H2, as listed in Alexandria.

## Properties
density	6.64	g/cm³
volume	16.337	A^3/atom
space-group type	P4/mbm

Unit cell a=7.5512 b=7.5512 c=2.8650 alpha=90.00 beta=90.00 gamma=90.00
Atoms (fractional coordinates):
La1 0.0000 0.0000 0.0000
La2 0.5000 0.5000 0.0000
Nb1 0.1187 0.3813 0.0000
Nb2 0.3813 0.8813 0.0000
Nb3 0.6187 0.1187 0.0000
Nb4 0.8813 0.6187 0.0000
H1 0.0988 0.5988 0.5000
H2 0.4012 0.0988 0.5000
H3 0.5988 0.9012 0.5000
H4 0.9012 0.4012 0.5000


Model ii:
First-principles (PBE) data for a relaxed structure of LaNb2H2, as listed in Alexandria.

## Properties
density	7.28	g/cm³
volume	14.912	A^3/atom
space-group type	I4/mmm

Unit cell a=6.3188 b=6.3188 c=6.3188 alpha=147.00 beta=147.00 gamma=47.37
Atoms (fractional coordinates):
La1 0.0000 0.0000 0.0000
Nb1 0.3196 0.3196 0.0000
Nb2 0.6804 0.6804 0.0000
H1 0.2500 0.7500 0.5000
H2 0.7500 0.2500 0.5000


model ii ends up most stable, edging out the next structure by 65.7 kJ/mol of atoms.


Model i:
First-principles (PBE) data for a relaxed structure of LaNdH2, as listed in Alexandria.

## Properties
density	6.61	g/cm³
volume	17.903	A^3/atom
space-group type	P6_3/mmc

Unit cell a=3.7296 b=3.7296 c=11.8893 alpha=90.00 beta=90.00 gamma=120.00
Atoms (fractional coordinates):
La1 0.0000 0.0000 0.0000
La2 0.0000 0.0000 0.5000
Nd1 0.3333 0.6667 0.2500
Nd2 0.6667 0.3333 0.7500
H1 0.3333 0.6667 0.6258
H2 0.3333 0.6667 0.8742
H3 0.6667 0.3333 0.1258
H4 0.6667 0.3333 0.3742


Model ii:
First-principles (PBE) data for a relaxed structure of LaNdH2, as listed in Alexandria.

## Properties
density	6.62	g/cm³
volume	17.886	A^3/atom
space-group type	R3m

Unit cell a=6.5912 b=6.5912 c=6.5912 alpha=32.02 beta=32.02 gamma=32.02
Atoms (fractional coordinates):
La1 0.0000 0.0000 0.0000
Nd1 0.1756 0.1756 0.1756
H1 0.5843 0.5843 0.5843
H2 0.7675 0.7675 0.7675


model i ends up most stable, edging out the next structure by 6.4 kJ/mol of atoms.